## A
Computed, not measured: a relaxed structure of Tm2Sc3Ni2 at the PBE-GGA level of DFT.

Computed properties:
magnetic moment = 0.00 μB per formula unit
crystal system = monoclinic

a b c (Å): 11.467 3.413 8.515
angles (deg): 90.00 115.00 90.00
Space group C2/m (No. 12)
Asymmetric unit:
Tm 0.161 0.000 0.305 (multiplicity 4)
Sc 0.000 0.500 0.500 (multiplicity 2)
Sc 0.117 0.500 0.932 (multiplicity 4)
Ni 0.167 0.000 0.735 (multiplicity 4)



## B
Computed, not measured: a relaxed structure of Tm2Sc3Ni2 at the PBE-GGA level of DFT.

Computed properties:
magnetic moment = 0.00 μB per formula unit
crystal system = monoclinic

a b c (Å): 10.480 4.441 7.125
angles (deg): 90.00 114.64 90.00
Space group C2/m (No. 12)
Asymmetric unit:
Tm 0.141 0.000 0.304 (multiplicity 4)
Sc 0.000 0.500 0.500 (multiplicity 2)
Sc 0.140 0.500 0.958 (multiplicity 4)
Ni 0.135 0.000 0.704 (multiplicity 4)



Most stable = A



## A
Computed, not measured: a relaxed structure of TmSc2Ni2 at the PBE-GGA level of DFT.

Computed properties:
magnetic moment = 0.00 μB per formula unit
crystal system = orthorhombic

a b c (Å): 3.535 12.883 8.571
angles (deg): 90.00 90.00 90.00
Space group Cmc2_1 (No. 36)
Asymmetric unit:
Tm 0.000 0.090 0.000 (multiplicity 4)
Sc 0.000 0.186 0.635 (multiplicity 4)
Sc 0.000 0.388 0.849 (multiplicity 4)
Ni 0.000 0.265 0.346 (multiplicity 4)
Ni 0.000 0.454 0.177 (multiplicity 4)



## B
Computed, not measured: a relaxed structure of TmSc2Ni2 at the PBE-GGA level of DFT.

Computed properties:
magnetic moment = 0.00 μB per formula unit
crystal system = monoclinic

a b c (Å): 4.845 4.354 9.634
angles (deg): 90.00 101.21 90.00
Space group P2_1/m (No. 11)
Asymmetric unit:
Tm 0.049 0.250 0.276 (multiplicity 2)
Sc 0.265 0.250 0.979 (multiplicity 2)
Sc 0.404 0.250 0.615 (multiplicity 2)
Ni 0.133 0.750 0.472 (multiplicity 2)
Ni 0.266 0.750 0.137 (multiplicity 2)



Most stable = B